DFT (PBE) results for a relaxed NaPrNd2Hg4 crystal.

The value obtained for the density of states at the Fermi level is 8.1 states/eV/f.u. As for the formation energy: -3.36 eV/f.u. For the total magnetization, the calculation gives 0.00 Bohr magnetons per cell.

Unit cell a=5.3470 b=5.3470 c=9.4268 alpha=73.52 beta=73.52 gamma=60.00
With the nearest neighbours (Å) after each atom.
Fractional coordinates of all 8 atoms:
Nd 0.2451 0.2451 0.2646  8 Hg 3.20-3.49
Nd 0.7549 0.7549 0.7354  8 Hg 3.20-3.49
Hg 0.1253 0.1253 0.6241  4 Nd 3.20-3.24, 3 Na 3.28, 1 Pr 3.35
Hg 0.6241 0.6241 0.1277  3 Pr 3.29, 1 Na 3.32, 4 Nd 3.32-3.49
Hg 0.3759 0.3759 0.8723  3 Pr 3.29, 1 Na 3.32, 4 Nd 3.32-3.49
Hg 0.8747 0.8747 0.3759  4 Nd 3.20-3.24, 3 Na 3.28, 1 Pr 3.35
Na 0.5000 0.5000 0.5000  8 Hg 3.28-3.32
Pr 0.0000 0.0000 0.0000  8 Hg 3.29-3.35